Entry 1:
DFT (GGA-PBE) results for an optimized crystal structure of LiTaB3. Values from VASP.

Energy relative to the lowest polymorph listed for this composition in meV/atom: 45.7
Energy relative to the elements in eV/atom: 1.23
Crystal system: cubic

Geometry as Quantum ESPRESSO input:
```
&SYSTEM
  ibrav = 0, nat = 5, ntyp = 3
/
ATOMIC_SPECIES
Li 6.94 Li.upf
Ta 180.95 Ta.upf
B 10.81 B.upf
ATOMIC_POSITIONS crystal
Li 0.000 0.000 0.000
Ta 0.500 0.500 0.500
B 0.000 0.000 0.500
B 0.000 0.500 0.000
B 0.500 0.000 0.000
CELL_PARAMETERS angstrom
3.585 0.000 0.000
0.000 3.585 0.000
0.000 0.000 3.585
```

=====

Entry 2:
DFT (GGA-PBE) results for an optimized crystal structure of La6AgS2Br3. Values from VASP.

Crystal system: monoclinic
Energy relative to the elements, uncorrected in kJ/mol of formula units: -1624.6

Geometry as Quantum ESPRESSO input:
```
&SYSTEM
  ibrav = 0, nat = 12, ntyp = 4
/
ATOMIC_SPECIES
La 138.91 La.upf
Ag 107.87 Ag.upf
S 32.06 S.upf
Br 79.90 Br.upf
ATOMIC_POSITIONS crystal
La 0.071 0.427 0.779
La 0.216 0.216 0.214
La 0.427 0.071 0.779
La 0.573 0.929 0.221
La 0.784 0.784 0.786
La 0.929 0.573 0.221
Ag 0.500 0.500 0.000
S 0.168 0.832 0.000
S 0.832 0.168 0.000
Br 0.000 0.000 0.500
Br 0.343 0.657 0.500
Br 0.657 0.343 0.500
CELL_PARAMETERS angstrom
3.610 -6.259 0.000
3.610 6.259 0.000
-2.382 0.000 7.601
```

=====

Entry 3:
DFT (GGA-PBE) results for an optimized crystal structure of Mg4Si7. Values from VASP.

Energy relative to the lowest polymorph listed for this composition in meV/atom: 13.2
Crystal system: triclinic
Energy relative to the elements, uncorrected in kJ/mol of formula units: 115.9

Geometry as Quantum ESPRESSO input:
```
&SYSTEM
  ibrav = 0, nat = 22, ntyp = 2
/
ATOMIC_SPECIES
Mg 24.30 Mg.upf
Si 28.09 Si.upf
ATOMIC_POSITIONS crystal
Mg 0.000 0.000 0.000
Mg 0.039 0.548 0.920
Mg 0.080 0.241 0.762
Mg 0.149 0.816 0.696
Mg 0.399 0.340 0.279
Mg 0.442 0.926 0.184
Mg 0.563 0.896 0.850
Mg 0.842 0.284 0.446
Si 0.290 0.402 0.563
Si 0.310 0.964 0.437
Si 0.361 0.630 0.405
Si 0.494 0.684 0.043
Si 0.499 0.319 0.047
Si 0.533 0.249 0.896
Si 0.603 0.557 0.783
Si 0.626 0.117 0.650
Si 0.753 0.541 0.621
Si 0.755 0.892 0.547
Si 0.885 0.043 0.306
Si 0.900 0.681 0.305
Si 0.955 0.602 0.151
Si 0.962 0.245 0.147
CELL_PARAMETERS angstrom
3.971 0.000 0.000
0.202 6.981 0.000
1.628 3.347 14.187
```

=====

Entry 4:
DFT (GGA-PBE) results for an optimized crystal structure of Ni2C3N6. Values from VASP.

Energy relative to the lowest polymorph listed for this composition in meV/atom: 176.5
Crystal system: trigonal
Energy relative to the elements, uncorrected in kJ/mol of formula units: 601.0

Geometry as Quantum ESPRESSO input:
```
&SYSTEM
  ibrav = 0, nat = 11, ntyp = 3
/
ATOMIC_SPECIES
Ni 58.69 Ni.upf
C 12.01 C.upf
N 14.01 N.upf
ATOMIC_POSITIONS crystal
Ni 0.173 0.173 0.173
Ni 0.827 0.827 0.827
C 0.000 0.694 0.306
C 0.306 0.000 0.694
C 0.694 0.306 0.000
N 0.013 0.817 0.414
N 0.183 0.987 0.586
N 0.414 0.013 0.817
N 0.586 0.183 0.987
N 0.817 0.414 0.013
N 0.987 0.586 0.183
CELL_PARAMETERS angstrom
2.696 1.556 4.878
-2.696 1.556 4.878
0.000 -3.113 4.878
```

=====

no.,calculated density (g cm⁻³),N(E_F) (states/eV/f.u.)
1,7.94,1.28
2,6.02,9.84
3,2.48,3.44
4,3.21,5.95